# 1
A plane-wave DFT calculation with PBE was carried out for crystalline RbSO4 at its relaxed geometry.

For the raw total energy, the calculation gives -0.205 hartree per atom. The calculation puts the energy relative to the elements, uncorrected at -1.422 eV/atom.

It has space group C2/c (No. 15), with a = 7.758 Å, b = 7.787 Å, c = 7.927 Å, α = 90.00°, β = 119.12° and γ = 90.00°. The distinct sites, in fractional coordinates, are Rb at (0.000, 0.125, 0.250), S at (0.000, 0.376, 0.750), O at (0.051, 0.265, 0.628) and O at (0.172, 0.487, 0.873).


# 2
A plane-wave DFT calculation with PBE was carried out for crystalline NaLi6Au5 at its relaxed geometry.

For the raw total energy, the calculation gives -0.107 hartree per atom. As for the energy of formation from the pure elements: -0.472 eV per atom.

It has space group Immm (No. 71), with a = 4.557 Å, b = 6.246 Å, c = 13.692 Å, α = 90.00°, β = 90.00° and γ = 90.00°. The distinct sites, in fractional coordinates, are Na at (0.000, 0.000, 0.000), Li at (0.000, 0.227, 0.500), Li at (0.000, 0.263, 0.178), Au at (0.000, 0.000, 0.335), Au at (0.000, 0.500, 0.000) and Au at (0.000, 0.500, 0.343).